1.
Computed, not measured: TeAsSe after structural relaxation at the GGA-PBE level of DFT.

- Relative energy among the computed polymorphs: 348 meV/atom
- E_form (uncorrected): 0.30 eV per atom
- Calculated total energy: -3.459 eV per atom

a = 3.5445 Å, b = 5.4565 Å, c = 15.9495 Å
α = 90.00°, β = 90.00°, γ = 90.00°
Last column: nearest neighbours and their distance in Å.
Space group Fmm2 (No. 42)
Symmetry-distinct sites (fractional):
Te 0.0000 0.0000 0.0000 [4 per cell]  2 As 3.17, 6 Te 3.25-3.54
As 0.0000 0.0000 0.6647 [4 per cell]  2 Se 2.56
Se 0.0000 0.0000 0.2803 [4 per cell]  2 As 2.56

2.
Computed, not measured: TeAsSe2 after structural relaxation at the GGA-PBE level of DFT.

- Relative energy among the computed polymorphs: 76 meV/atom
- E_form (uncorrected): 0.03 eV per atom
- Calculated total energy: -3.663 eV per atom

a = 4.9970 Å, b = 4.1333 Å, c = 5.9003 Å
α = 90.00°, β = 98.99°, γ = 90.00°
Last column: nearest neighbours and their distance in Å.
Space group Pm (No. 6)
Symmetry-distinct sites (fractional):
Te 0.0000 0.0000 0.0000 [1 per cell]  1 Se 2.51
As 0.5990 0.5000 0.8240 [1 per cell]  1 Se 2.33
Se 0.2230 0.0000 0.6480 [1 per cell]  1 Te 2.51
Se 0.4651 0.5000 0.1858 [1 per cell]  1 As 2.33

| no. | total magnetization (μB/cell) |
| --- | --- |
| 1 | 0.000 |
| 2 | 0.000 |